PBE DySn2Pd6, optimized geometry; DFT formation energy = -505.9 meV/atom; uncorrected energy = -5.37 eV/atom; D(E_F) = 4.67 states/eV per cell
1.0
-3.5437 0.5847 1.0521
-2.3794 -2.7401 -6.4918
1.1679 -4.0029 6.1584
Dy Sn Pd
1 2 6
direct
0.5000 0.1103 0.1103
0.0000 0.6042 0.3080
0.0000 0.3080 0.6042
0.5000 0.5203 0.5203
0.5000 0.5727 0.9364
0.5000 0.9364 0.5727
0.0000 0.8087 0.8087
0.0000 0.2322 0.9071
0.0000 0.9071 0.2322